Entry 1:
The following is a PBE calculation of a geometry-optimized Ac6Ga2N structure, from the Alexandria database.

```
Ac6Ga2N
1.0
7.032 0.000 0.000
0.000 8.565 0.000
-6.642 0.000 10.184
Ac Ga N
12 4 2
Direct
0.118 0.157 0.444
0.118 0.343 0.944
0.303 0.710 0.441
0.303 0.790 0.941
0.372 0.038 0.252
0.372 0.462 0.752
0.628 0.538 0.248
0.628 0.962 0.748
0.697 0.210 0.059
0.697 0.290 0.559
0.882 0.657 0.056
0.882 0.843 0.556
0.198 0.113 0.758
0.198 0.387 0.258
0.802 0.613 0.742
0.802 0.887 0.242
0.500 0.000 0.500
0.500 0.500 0.000
```

- total DFT energy (no corrections) (eV for the cell shown) = -85.88
- density (kg/m³) = 8204
- magnetic moment (μB/cell) = 0.0
- formation energy (no corrections) (meV/atom) = -435
- DOS(E_F) (states/eV/atom) = 1.189
- SG = No. 14

***

Entry 2:
The following is a PBE calculation of a geometry-optimized Ac4Ga2N structure, from the Alexandria database.

```
Ac4Ga2N
1.0
6.751 -2.058 0.000
6.751 2.058 0.000
-5.355 0.000 7.521
Ac Ga N
4 2 1
Direct
0.082 0.082 0.340
0.344 0.344 0.928
0.656 0.656 0.072
0.918 0.918 0.660
0.386 0.386 0.342
0.614 0.614 0.658
0.000 0.000 0.000
```

- total DFT energy (no corrections) (eV for the cell shown) = -34.83
- density (kg/m³) = 8432
- magnetic moment (μB/cell) = 0.0
- formation energy (no corrections) (meV/atom) = -573
- DOS(E_F) (states/eV/atom) = 0.897
- excess energy over the best structure of this formula in the dataset (meV/atom) = 0
- SG = No. 12

***

Entry 3:
The following is a PBE calculation of a geometry-optimized Ac5Ga2N structure, from the Alexandria database.

```
Ac5Ga2N
1.0
3.001 -7.726 0.000
3.001 7.726 0.000
0.000 0.000 12.291
Ac Ga N
10 4 2
Direct
0.078 0.922 0.605
0.078 0.922 0.895
0.314 0.686 0.594
0.314 0.686 0.906
0.322 0.678 0.250
0.678 0.322 0.750
0.686 0.314 0.094
0.686 0.314 0.406
0.922 0.078 0.105
0.922 0.078 0.395
0.129 0.871 0.146
0.129 0.871 0.354
0.871 0.129 0.646
0.871 0.129 0.854
0.190 0.810 0.750
0.810 0.190 0.250
```

- total DFT energy (no corrections) (eV for the cell shown) = -74.27
- density (kg/m³) = 7508
- magnetic moment (μB/cell) = 0.0
- formation energy (no corrections) (meV/atom) = -277
- DOS(E_F) (states/eV/atom) = 1.013
- SG = No. 63

***

Entry 4:
The following is a PBE calculation of a geometry-optimized Ac2GaNiN structure, from the Alexandria database.

```
Ac2GaNiN
1.0
6.855 0.000 0.000
0.000 4.055 0.000
-2.964 0.000 8.420
Ac Ga Ni N
4 2 2 2
Direct
0.213 0.250 0.386
0.219 0.250 0.965
0.781 0.750 0.035
0.787 0.750 0.614
0.327 0.750 0.701
0.673 0.250 0.299
0.466 0.750 0.243
0.534 0.250 0.757
0.170 0.750 0.168
0.830 0.250 0.832
```

- total DFT energy (no corrections) (eV for the cell shown) = -57.17
- density (kg/m³) = 8464
- magnetic moment (μB/cell) = 0.0
- formation energy (no corrections) (meV/atom) = -647
- DOS(E_F) (states/eV/atom) = 0.839
- SG = No. 11

***

Entry 5:
The following is a PBE calculation of a geometry-optimized AcGaNiN structure, from the Alexandria database.

```
AcGaNiN
1.0
3.932 0.000 0.000
0.000 3.932 0.000
0.000 0.000 9.094
Ac Ga Ni N
2 2 2 2
Direct
0.250 0.250 0.153
0.750 0.750 0.847
0.250 0.250 0.652
0.750 0.750 0.348
0.250 0.750 0.500
0.750 0.250 0.500
0.250 0.250 0.873
0.750 0.750 0.127
```

- total DFT energy (no corrections) (eV for the cell shown) = -48.19
- density (kg/m³) = 8728
- magnetic moment (μB/cell) = 0.0
- formation energy (no corrections) (meV/atom) = -714
- DOS(E_F) (states/eV/atom) = 0.465
- SG = No. 129

***

Entry 6:
The following is a PBE calculation of a geometry-optimized Ac2NpGa2N6 structure, from the Alexandria database.

```
Ac2NpGa2N6
1.0
2.992 1.728 5.669
-2.992 1.728 5.669
0.000 -3.455 5.669
Ac Np Ga N
2 1 2 6
Direct
0.209 0.209 0.209
0.791 0.791 0.791
0.000 0.000 0.000
0.415 0.415 0.415
0.585 0.585 0.585
0.225 0.759 0.759
0.241 0.241 0.775
0.241 0.775 0.241
0.759 0.225 0.759
0.759 0.759 0.225
0.775 0.241 0.241
```

- total DFT energy (no corrections) (eV for the cell shown) = -84.95
- density (kg/m³) = 8636
- magnetic moment (μB/cell) = 1.0
- formation energy (no corrections) (meV/atom) = -708
- DOS(E_F) (states/eV/atom) = 0.019
- SG = No. 166

***

Entry 7:
The following is a PBE calculation of a geometry-optimized Ac2NpGaN5 structure, from the Alexandria database.

```
Ac2NpGaN5
1.0
1.777 -7.365 0.000
1.777 7.365 0.000
0.000 0.000 10.932
Ac Np Ga N
4 2 2 10
Direct
0.106 0.894 0.500
0.129 0.871 0.132
0.871 0.129 0.632
0.894 0.106 0.000
0.205 0.795 0.837
0.795 0.205 0.337
0.449 0.551 0.261
0.551 0.449 0.761
0.055 0.945 0.850
0.286 0.714 0.459
0.310 0.690 0.210
0.342 0.658 0.823
0.496 0.504 0.603
0.504 0.496 0.103
0.658 0.342 0.323
0.690 0.310 0.710
0.714 0.286 0.959
0.945 0.055 0.350
```

- total DFT energy (no corrections) (eV for the cell shown) = -148.90
- density (kg/m³) = 9643
- magnetic moment (μB/cell) = 2.0
- formation energy (no corrections) (meV/atom) = -960
- DOS(E_F) (states/eV/atom) = 0.192
- SG = No. 36

***

Entry 8:
The following is a PBE calculation of a geometry-optimized Ac2GaP2N6 structure, from the Alexandria database.

```
Ac2GaP2N6
1.0
5.560 0.000 0.000
-2.780 4.815 0.000
0.000 0.000 6.157
Ac Ga P N
2 1 2 6
Direct
0.333 0.667 0.310
0.667 0.333 0.690
0.000 0.000 0.000
0.333 0.667 0.824
0.667 0.333 0.176
0.141 0.341 0.778
0.200 0.859 0.778
0.341 0.200 0.222
0.659 0.800 0.778
0.800 0.141 0.222
0.859 0.659 0.222
```

- total DFT energy (no corrections) (eV for the cell shown) = -77.57
- density (kg/m³) = 6747
- magnetic moment (μB/cell) = 0.0
- formation energy (no corrections) (meV/atom) = -505
- DOS(E_F) (states/eV/atom) = 0.231
- SG = No. 147

***

Entry 9:
The following is a PBE calculation of a geometry-optimized AcPaGaN4 structure, from the Alexandria database.

```
AcPaGaN4
1.0
5.833 0.000 0.000
0.000 5.255 0.000
-2.220 0.000 6.979
Ac Pa Ga N
2 2 2 8
Direct
0.213 0.250 0.431
0.787 0.750 0.569
0.260 0.250 0.940
0.740 0.750 0.060
0.257 0.750 0.179
0.743 0.250 0.821
0.036 0.750 0.921
0.049 0.750 0.342
0.500 0.009 0.211
0.500 0.491 0.211
0.500 0.509 0.789
0.500 0.991 0.789
0.951 0.250 0.658
0.964 0.250 0.079
```

- total DFT energy (no corrections) (eV for the cell shown) = -111.23
- density (kg/m³) = 9063
- magnetic moment (μB/cell) = 0.0
- formation energy (no corrections) (meV/atom) = -812
- DOS(E_F) (states/eV/atom) = 0.270
- SG = No. 11

***

Entry 10:
The following is a PBE calculation of a geometry-optimized Ac2PaGaN5 structure, from the Alexandria database.

```
Ac2PaGaN5
1.0
1.798 -7.314 0.000
1.798 7.314 0.000
0.000 0.000 11.159
Ac Pa Ga N
4 2 2 10
Direct
0.103 0.897 0.500
0.132 0.868 0.138
0.868 0.132 0.638
0.897 0.103 0.000
0.201 0.799 0.841
0.799 0.201 0.341
0.457 0.543 0.258
0.543 0.457 0.758
0.043 0.957 0.844
0.286 0.714 0.469
0.317 0.683 0.210
0.349 0.651 0.824
0.492 0.508 0.601
0.508 0.492 0.101
0.651 0.349 0.324
0.683 0.317 0.710
0.714 0.286 0.969
0.957 0.043 0.344
```

- total DFT energy (no corrections) (eV for the cell shown) = -142.25
- density (kg/m³) = 9333
- magnetic moment (μB/cell) = 0.9
- formation energy (no corrections) (meV/atom) = -973
- DOS(E_F) (states/eV/atom) = 0.863
- SG = No. 36

***

Entry 11:
The following is a PBE calculation of a geometry-optimized AcGaPdN structure, from the Alexandria database.

```
AcGaPdN
1.0
4.055 0.000 0.000
0.000 4.055 0.000
0.000 0.000 9.240
Ac Ga Pd N
2 2 2 2
Direct
0.250 0.250 0.148
0.750 0.750 0.852
0.250 0.250 0.664
0.750 0.750 0.336
0.250 0.750 0.500
0.750 0.250 0.500
0.250 0.250 0.878
0.750 0.750 0.122
```

- total DFT energy (no corrections) (eV for the cell shown) = -48.36
- density (kg/m³) = 9119
- magnetic moment (μB/cell) = 0.0
- formation energy (no corrections) (meV/atom) = -881
- DOS(E_F) (states/eV/atom) = 0.371
- SG = No. 129

***

Entry 12:
The following is a PBE calculation of a geometry-optimized AcPmGaN3 structure, from the Alexandria database.

```
AcPmGaN3
1.0
7.752 0.000 0.000
0.000 3.603 0.000
-1.203 0.000 7.667
Ac Pm Ga N
2 2 2 6
Direct
0.190 0.250 0.180
0.810 0.750 0.820
0.164 0.250 0.639
0.836 0.750 0.361
0.391 0.750 0.905
0.609 0.250 0.095
0.140 0.750 0.869
0.142 0.750 0.406
0.494 0.250 0.844
0.506 0.750 0.156
0.858 0.250 0.594
0.860 0.250 0.131
```

- total DFT energy (no corrections) (eV for the cell shown) = -84.29
- density (kg/m³) = 7502
- magnetic moment (μB/cell) = 0.0
- formation energy (no corrections) (meV/atom) = -880
- SG = No. 11

***

Entry 13:
The following is a PBE calculation of a geometry-optimized AcPrGaN3 structure, from the Alexandria database.

```
AcPrGaN3
1.0
7.756 0.000 0.000
0.000 3.635 0.000
-1.107 0.000 7.765
Ac Pr Ga N
2 2 2 6
Direct
0.186 0.250 0.176
0.814 0.750 0.824
0.170 0.250 0.636
0.830 0.750 0.364
0.391 0.750 0.907
0.609 0.250 0.093
0.140 0.750 0.401
0.142 0.750 0.872
0.494 0.250 0.847
0.506 0.750 0.153
0.858 0.250 0.128
0.860 0.250 0.599
```

- total DFT energy (no corrections) (eV for the cell shown) = -83.84
- density (kg/m³) = 7277
- magnetic moment (μB/cell) = 0.0
- formation energy (no corrections) (meV/atom) = -839
- SG = No. 11

***

Entry 14:
The following is a PBE calculation of a geometry-optimized AcGaPtN structure, from the Alexandria database.

```
AcGaPtN
1.0
4.080 0.000 0.000
0.000 4.080 0.000
0.000 0.000 9.104
Ac Ga Pt N
2 2 2 2
Direct
0.250 0.250 0.151
0.750 0.750 0.849
0.250 0.250 0.663
0.750 0.750 0.337
0.250 0.750 0.500
0.750 0.250 0.500
0.250 0.250 0.878
0.750 0.750 0.122
```

- total DFT energy (no corrections) (eV for the cell shown) = -50.56
- density (kg/m³) = 11085
- magnetic moment (μB/cell) = 0.0
- formation energy (no corrections) (meV/atom) = -944
- DOS(E_F) (states/eV/atom) = 0.372
- SG = No. 129

***

Entry 15:
The following is a PBE calculation of a geometry-optimized Ac2PuGaN5 structure, from the Alexandria database.

```
Ac2PuGaN5
1.0
1.772 -7.328 0.000
1.772 7.328 0.000
0.000 0.000 10.968
Ac Pu Ga N
4 2 2 10
Direct
0.107 0.893 0.500
0.132 0.868 0.128
0.868 0.132 0.628
0.893 0.107 0.000
0.204 0.796 0.834
0.796 0.204 0.334
0.449 0.551 0.257
0.551 0.449 0.757
0.056 0.944 0.848
0.285 0.715 0.459
0.311 0.689 0.205
0.340 0.660 0.821
0.495 0.505 0.601
0.505 0.495 0.101
0.660 0.340 0.321
0.689 0.311 0.705
0.715 0.285 0.959
0.944 0.056 0.348
```

- total DFT energy (no corrections) (eV for the cell shown) = -150.39
- density (kg/m³) = 9769
- magnetic moment (μB/cell) = 4.0
- formation energy (no corrections) (meV/atom) = -888
- DOS(E_F) (states/eV/atom) = 0.332
- SG = No. 36

***

Entry 16:
The following is a PBE calculation of a geometry-optimized Ac2PuGa2N6 structure, from the Alexandria database.

```
Ac2PuGa2N6
1.0
2.991 1.727 5.661
-2.991 1.727 5.661
0.000 -3.454 5.661
Ac Pu Ga N
2 1 2 6
Direct
0.209 0.209 0.209
0.791 0.791 0.791
0.000 0.000 0.000
0.415 0.415 0.415
0.585 0.585 0.585
0.225 0.759 0.759
0.241 0.241 0.775
0.241 0.775 0.241
0.759 0.225 0.759
0.759 0.759 0.225
0.775 0.241 0.241
```

- total DFT energy (no corrections) (eV for the cell shown) = -85.39
- density (kg/m³) = 8719
- magnetic moment (μB/cell) = 2.0
- formation energy (no corrections) (meV/atom) = -622
- DOS(E_F) (states/eV/atom) = 0.593
- SG = No. 166

***

Entry 17:
The following is a PBE calculation of a geometry-optimized AcGaRu2N structure, from the Alexandria database.

```
AcGaRu2N
1.0
2.081 -5.726 0.000
2.081 5.726 0.000
0.000 0.000 7.356
Ac Ga Ru N
2 2 4 2
Direct
0.054 0.946 0.750
0.946 0.054 0.250
0.227 0.773 0.250
0.773 0.227 0.750
0.339 0.661 0.561
0.339 0.661 0.939
0.661 0.339 0.061
0.661 0.339 0.439
0.500 0.500 0.000
0.500 0.500 0.500
```

- total DFT energy (no corrections) (eV for the cell shown) = -72.76
- density (kg/m³) = 9718
- magnetic moment (μB/cell) = 0.0
- formation energy (no corrections) (meV/atom) = -473
- DOS(E_F) (states/eV/atom) = 0.854
- SG = No. 63

***

Entry 18:
The following is a PBE calculation of a geometry-optimized Ac2GaRuN structure, from the Alexandria database.

```
Ac2GaRuN
1.0
6.748 0.000 0.000
0.000 4.198 0.000
-3.146 0.000 8.549
Ac Ga Ru N
4 2 2 2
Direct
0.218 0.250 0.381
0.223 0.250 0.970
0.777 0.750 0.030
0.782 0.750 0.619
0.309 0.750 0.701
0.691 0.250 0.299
0.490 0.750 0.256
0.510 0.250 0.744
0.173 0.750 0.171
0.827 0.250 0.829
```

- total DFT energy (no corrections) (eV for the cell shown) = -63.57
- density (kg/m³) = 8759
- magnetic moment (μB/cell) = 0.0
- formation energy (no corrections) (meV/atom) = -588
- DOS(E_F) (states/eV/atom) = 0.986
- SG = No. 11

***

Entry 19:
The following is a PBE calculation of a geometry-optimized Ac4GaSiN structure, from the Alexandria database.

```
Ac4GaSiN
1.0
3.586 -8.556 0.000
3.586 8.556 0.000
0.000 0.000 7.189
Ac Ga Si N
8 2 2 2
Direct
0.000 0.500 0.000
0.000 0.500 0.500
0.065 0.935 0.750
0.424 0.576 0.750
0.500 0.000 0.000
0.500 0.000 0.500
0.576 0.424 0.250
0.935 0.065 0.250
0.383 0.617 0.250
0.617 0.383 0.750
0.116 0.884 0.250
0.884 0.116 0.750
0.277 0.723 0.750
0.723 0.277 0.250
```

- total DFT energy (no corrections) (eV for the cell shown) = -74.40
- density (kg/m³) = 7678
- magnetic moment (μB/cell) = 0.0
- formation energy (no corrections) (meV/atom) = -570
- DOS(E_F) (states/eV/atom) = 0.486
- SG = No. 63

***

Entry 20:
The following is a PBE calculation of a geometry-optimized Sr2AcGaN structure, from the Alexandria database.

```
Sr2AcGaN
1.0
-3.697 3.697 5.243
3.697 -3.697 5.243
3.697 3.697 -5.243
Sr Ac Ga N
4 2 2 2
Direct
0.206 0.706 0.911
0.294 0.206 0.500
0.706 0.794 0.500
0.794 0.294 0.089
0.249 0.249 0.000
0.749 0.749 0.000
0.250 0.750 0.500
0.750 0.250 0.500
0.002 0.002 0.000
0.502 0.502 0.000
```

- total DFT energy (no corrections) (eV for the cell shown) = -43.04
- density (kg/m³) = 5630
- magnetic moment (μB/cell) = 0.0
- formation energy (no corrections) (meV/atom) = -539
- DOS(E_F) (states/eV/atom) = 1.079
- SG = No. 108